Here is a relaxed AcThHg crystal from the Alexandria database. Energies are from PBE-GGA.

Cell lengths 3.7612, 3.7601, 16.5792 Å; angles 90.00, 90.00, 120.01 degrees
Sites, in units of the cell vectors:
Hg1 0.6108 0.2217 0.0000
Hg2 0.2778 0.5557 0.5000
Ac1 0.6114 0.2228 0.3360
Ac2 0.6114 0.2228 0.6640
Th1 0.2775 0.5551 0.8483
Th2 0.2775 0.5551 0.1517

Values from the calculation:
The symmetry is No. 187. Its offset from the most stable computed form is 99.7 meV per atom. The calculation puts the energy of formation from the pure elements at -0.05 eV per atom. Its volume is 33.84 Å³ per atom. For the total magnetization, the calculation gives 0.00 μB/f.u. As for the density of states at the Fermi level: 5.9 states/eV/cell.

Here is a relaxed PbAuBr4 crystal from the Alexandria database. Energies are from PBE-GGA.

Cell lengths 6.4781, 6.4781, 6.4780 Å; angles 110.97, 110.97, 106.51 degrees
Sites, in units of the cell vectors:
Pb1 0.7500 0.2500 0.5000
Au1 0.5000 0.5000 0.0000
Br1 0.2329 0.2762 0.5035
Br2 0.7726 0.7294 0.4965
Br3 0.2706 0.7671 0.0432
Br4 0.7239 0.2274 0.9568

Values from the calculation:
The symmetry is No. 82. For the raw formation energy, the calculation gives -2.6 eV per formula unit. Its volume is 34.81 Å³ per atom. For the total magnetization, the calculation gives 0.00 μB/f.u. As for the density of states at the Fermi level: 2.7 states/eV/cell.

Here is a relaxed Ce2PmThSb5 crystal from the Alexandria database. Energies are from PBE-GGA.

Cell lengths 5.3819, 5.3819, 11.8291 Å; angles 90.00, 90.00, 90.00 degrees
Last column: magnetic moment on the atom in μB.
Sites, in units of the cell vectors:
Ce1 0.5000 0.5000 0.3052  0.96
Ce2 0.5000 0.5000 0.6948  0.96
Pm1 0.0000 0.0000 0.5000  0.00
Th1 0.0000 0.0000 0.0000  -0.04
Sb1 0.0000 0.5000 0.5000  -0.03
Sb2 0.5000 0.0000 0.5000  -0.03
Sb3 0.0000 0.0000 0.7514  -0.03
Sb4 0.0000 0.0000 0.2486  -0.03
Sb5 0.5000 0.5000 0.0000  -0.02

Values from the calculation:
The symmetry is No. 123. For the raw formation energy, the calculation gives -1.5 eV per formula unit. Its volume is 38.07 Å³ per atom. For the total magnetization, the calculation gives 1.70 μB/f.u. As for the density of states at the Fermi level: 16.8 states/eV/cell.

Here is a relaxed Sc4C crystal from the Alexandria database. Energies are from PBE-GGA.

Cell lengths 3.2839, 3.2839, 11.3365 Å; angles 90.00, 90.00, 120.00 degrees
Last column: magnetic moment on the atom in μB.
Sites, in units of the cell vectors:
C1 0.0000 0.0000 0.0000  0.00
Sc1 0.3333 0.6667 0.8909  0.04
Sc2 0.6667 0.3333 0.1091  0.04
Sc3 0.3333 0.6667 0.6124  0.34
Sc4 0.6667 0.3333 0.3876  0.34

Values from the calculation:
The symmetry is No. 164. Its offset from the most stable computed form is 0.0 meV per atom. The calculation puts the energy of formation from the pure elements at -0.18 eV per atom. Its volume is 21.18 Å³ per atom. For the total magnetization, the calculation gives 1.28 μB/f.u. As for the density of states at the Fermi level: 4.8 states/eV/cell.

Here is a relaxed V2OsPt crystal from the Alexandria database. Energies are from PBE-GGA.

Cell lengths 2.7539, 2.7539, 7.4910 Å; angles 90.00, 90.00, 90.00 degrees
Sites, in units of the cell vectors:
Os1 0.5000 0.5000 0.0000
Pt1 0.5000 0.5000 0.5000
V1 0.0000 0.0000 0.7603
V2 0.0000 0.0000 0.2397

Values from the calculation:
The symmetry is No. 123. The calculation puts the energy of formation from the pure elements at -0.36 eV per atom. Its volume is 14.20 Å³ per atom. For the total magnetization, the calculation gives 0.00 μB/f.u. As for the density of states at the Fermi level: 5.1 states/eV/cell.

Here is a relaxed NaSr2Sn3Pt4 crystal from the Alexandria database. Energies are from PBE-GGA.

Cell lengths 4.6534, 4.6534, 10.9812 Å; angles 90.00, 90.00, 90.00 degrees
Sites, in units of the cell vectors:
Na1 0.5000 0.5000 0.5000
Sr1 0.5000 0.0000 0.2433
Sr2 0.0000 0.5000 0.7567
Sn1 0.0000 0.0000 0.5000
Sn2 0.5000 0.0000 0.8783
Sn3 0.0000 0.5000 0.1217
Pt1 0.5000 0.5000 0.0000
Pt2 0.0000 0.0000 0.0000
Pt3 0.5000 0.0000 0.6388
Pt4 0.0000 0.5000 0.3612

Values from the calculation:
The symmetry is No. 115. The calculation puts the energy of formation from the pure elements at -0.71 eV per atom. Its volume is 23.78 Å³ per atom. For the total magnetization, the calculation gives 0.00 μB/f.u. As for the density of states at the Fermi level: 5.4 states/eV/cell.

Here is a relaxed CdNiMo2 crystal from the Alexandria database. Energies are from PBE-GGA.

Cell lengths 4.4706, 4.4706, 4.4706 Å; angles 60.00, 60.00, 60.00 degrees
Sites, in units of the cell vectors:
Cd1 0.5000 0.5000 0.5000
Mo1 0.0000 0.0000 0.0000
Mo2 0.2500 0.2500 0.2500
Ni1 0.7500 0.7500 0.7500

Values from the calculation:
The symmetry is No. 216. The calculation puts the energy of formation from the pure elements at 0.46 eV per atom. Its volume is 15.80 Å³ per atom. For the total magnetization, the calculation gives 0.00 μB/f.u. As for the density of states at the Fermi level: 4.0 states/eV/cell.